# 1
VASP calculation (GGA-PBE) on an optimized crystal structure of Dy4Er2TmTh.

Properties
DFT formation energy = 32 meV/atom
space group = Pmmm
total moment = 0.00 μB per cell
total DFT energy (no corrections) = -4.8964 eV per atom

abc: 4.989 5.002 9.999
angles: 90.00 90.00 90.00
Atoms (fractional coordinates):
Dy 0.000 0.000 0.249
Dy 0.000 0.000 0.751
Dy 0.500 0.500 0.250
Dy 0.500 0.500 0.750
Er 0.000 0.500 0.500
Er 0.500 0.000 0.000
Tm 0.500 0.000 0.500
Th 0.000 0.500 0.000


# 2
VASP calculation (GGA-PBE) on an optimized crystal structure of CrW.

Properties
DFT formation energy = 485 meV/atom
space group = P-3m1
total moment = 0.00 μB per cell
total DFT energy (no corrections) = -10.8033 eV per atom

abc: 2.781 2.781 8.606
angles: 90.00 90.00 120.00
Atoms (fractional coordinates):
Cr 0.333 0.667 0.405
Cr 0.667 0.333 0.595
W 0.333 0.667 0.858
W 0.667 0.333 0.142